Record 1
Y3Au | PBE-GGA | optimized geometry

It has space group P2/m (No. 10), with a = 3.770 Å, b = 4.798 Å, c = 6.437 Å, α = 90.00°, β = 103.94° and γ = 90.00°. The asymmetric unit holds Y at (0.000, 0.000, 0.000), Y at (0.385, 0.500, 0.726) and Au at (0.000, 0.000, 0.500).

***

Record 2
Y3Au | PBE-GGA | optimized geometry

It has space group I4/mmm (No. 139), with a = 4.500 Å, b = 4.500 Å, c = 10.608 Å, α = 90.00°, β = 90.00° and γ = 90.00°. The asymmetric unit holds Y at (0.000, 0.000, 0.000), Y at (0.000, 0.500, 0.250) and Au at (0.000, 0.000, 0.500).

***

Number 1: DOS at the Fermi energy 1.25 states/eV per atom, raw total energy -23.832 eV per formula unit. Number 2: DOS at the Fermi energy 1.40 states/eV per atom, raw total energy -23.525 eV per formula unit.